Entry 1:
Ca4SbOs | PBE-GGA | optimized geometry

```
Ca4SbOs
1.0
0.000 4.282 4.282
4.282 0.000 4.282
4.282 4.282 0.000
Ca Sb Os
4 1 1
direct
0.124 0.124 0.124 Ca
0.124 0.124 0.628 Ca
0.124 0.628 0.124 Ca
0.628 0.124 0.124 Ca
0.500 0.500 0.500 Sb
0.750 0.750 0.750 Os
```

E_tot: -3.1808 eV/atom
total magnetization: 0.07 μB/atom
D(E_F): 4.84 states/eV per cell

***

Entry 2:
Rb3Pu3SnS8 | PBE-GGA | optimized geometry

```
Rb3Pu3SnS8
1.0
4.101 2.367 7.667
-4.101 2.367 7.667
0.000 -4.735 7.667
Rb Pu Sn S
3 3 1 8
direct
0.000 0.500 0.500 Rb
0.500 0.000 0.500 Rb
0.500 0.500 0.000 Rb
0.000 0.000 0.500 Pu
0.000 0.500 0.000 Pu
0.500 0.000 0.000 Pu
0.500 0.500 0.500 Sn
0.217 0.734 0.734 S
0.229 0.229 0.229 S
0.266 0.266 0.783 S
0.266 0.783 0.266 S
0.734 0.217 0.734 S
0.734 0.734 0.217 S
0.771 0.771 0.771 S
0.783 0.266 0.266 S
```

E_tot: -6.8685 eV/atom
total magnetization: 0.89 μB/atom
D(E_F): 28.16 states/eV per cell

***

Entry 3:
BaBe2H | PBE-GGA | optimized geometry

```
BaBe2H
1.0
-2.824 2.824 4.003
2.824 -2.824 4.003
2.824 2.824 -4.003
Ba Be H
2 4 2
direct
0.375 0.625 0.750 Ba
0.625 0.375 0.250 Ba
0.000 0.000 0.000 Be
0.000 0.000 0.500 Be
0.000 0.500 0.000 Be
0.500 0.000 0.500 Be
0.125 0.875 0.250 H
0.875 0.125 0.750 H
```

E_tot: -2.5688 eV/atom
total magnetization: 0.00 μB/atom
distance to the lowest polymorph of the same formula: 0.0 meV per atom
D(E_F): 2.31 states/eV per cell

***

Entry 4:
SrCuPb2 | PBE-GGA | optimized geometry

```
SrCuPb2
1.0
5.032 0.000 0.000
0.000 4.509 0.000
-1.491 0.000 5.284
Sr Cu Pb
1 1 2
direct
0.000 0.000 0.000 Sr
0.500 0.000 0.500 Cu
0.319 0.500 0.690 Pb
0.681 0.500 0.310 Pb
```

E_tot: -3.4776 eV/atom
total magnetization: 0.00 μB/atom
ΔE_f: -0.179 eV/atom
D(E_F): 1.51 states/eV per cell

***

Entry 5:
Os2PbIO | PBE-GGA | optimized geometry

```
Os2PbIO
1.0
4.112 0.000 0.000
0.000 4.112 0.000
0.000 0.000 6.363
Os Pb I O
2 1 1 1
direct
0.000 0.500 0.000 Os
0.500 0.000 0.000 Os
0.000 0.000 0.500 Pb
0.500 0.500 0.500 I
0.500 0.500 0.000 O
```

E_tot: -5.4873 eV/atom
total magnetization: 0.41 μB/atom
D(E_F): 6.24 states/eV per cell

***

Entry 6:
NaSrV | PBE-GGA | optimized geometry

```
NaSrV
1.0
3.801 0.000 0.000
1.878 3.767 0.000
0.155 2.189 14.806
Na Sr V
2 2 2
direct
0.000 0.000 0.000 Na
0.241 0.521 0.802 Na
0.374 0.280 0.226 Sr
0.463 0.071 0.576 Sr
0.045 0.925 0.401 V
0.793 0.423 0.401 V
```

E_tot: -3.5856 eV/atom
total magnetization: 0.00 μB/atom
distance to the lowest polymorph of the same formula: 61.8 meV per atom
ΔE_f: 0.454 eV/atom
D(E_F): 5.84 states/eV per cell

***

The lowest D(E_F) belongs to which entry? SrCuPb2

***

Which value of D(E_F) does entry 1 give? 4.84 states/eV per cell